Entry 1:
Cs3TbU2O9: optimized geometry, GGA-PBE.

crystal system = trigonal
raw formation energy = -42.01 eV/f.u.
DFT total energy = -7.760 eV per atom

Unit cell a=6.2544 b=6.2544 c=7.6560 alpha=90.00 beta=90.00 gamma=120.00
Space group P-3m1 (No. 164)
Unique sites:
Cs 0.0000 0.0000 0.0000 (multiplicity 1)
Cs 0.3333 0.6667 0.6628 (multiplicity 2)
Tb 0.0000 0.0000 0.5000 (multiplicity 1)
U 0.3333 0.6667 0.1658 (multiplicity 2)
O 0.0000 0.5000 0.0000 (multiplicity 3)
O 0.1773 0.3545 0.3197 (multiplicity 6)

***

Entry 2:
PmY2Er5Th: optimized geometry, GGA-PBE.

crystal system = tetragonal
DFT total energy = -5.000 eV per atom

Unit cell a=8.7391 b=8.7391 c=15.0125 alpha=90.00 beta=90.00 gamma=90.00
Space group I4/mcm (No. 140)
Unique sites:
Pm 0.0000 0.5000 0.2500 (multiplicity 4)
Y 0.1152 0.3848 0.0000 (multiplicity 8)
Er 0.0000 0.0000 0.0000 (multiplicity 4)
Er 0.2091 0.2909 0.3624 (multiplicity 16)
Th 0.0000 0.0000 0.2500 (multiplicity 4)

***

Entry 3:
PmYCSe: optimized geometry, GGA-PBE.

crystal system = trigonal
raw formation energy = -4.25 eV/f.u.
DFT total energy = -7.042 eV per atom

Unit cell a=3.7958 b=3.7958 c=20.5485 alpha=90.00 beta=90.00 gamma=120.00
Space group R3m (No. 160, hexagonal axes)
Unique sites:
Pm 0.0000 0.0000 0.0000 (multiplicity 3)
Y 0.0000 0.0000 0.1992 (multiplicity 3)
C 0.0000 0.0000 0.5983 (multiplicity 3)
Se 0.0000 0.0000 0.7710 (multiplicity 3)

***

The highest DFT total energy belongs to which entry?
PmY2Er5Th